{"formula": "ZrHgMo2", "functional": "PBE", "state": "relaxed", "e_form_mev_per_atom": 174.7, "magmom_total_mub_per_fu": 0.000, "spacegroup": "Cmm2 (35)", "energy_ev_per_fu": -29.81, "n_ef_per_ev_atom": 0.754, "lattice_angstrom": [[3.303, 0.000, 0.000], [0.000, 4.807, 0.000], [0.000, 0.000, 9.425]], "species": ["Zr", "Zr", "Hg", "Hg", "Mo", "Mo", "Mo", "Mo"], "fractional_positions": [[0.000, 0.000, 0.000], [0.500, 0.500, 0.000], [0.000, 0.500, 0.278], [0.500, 0.000, 0.278], [0.000, 0.000, 0.541], [0.000, 0.500, 0.753], [0.500, 0.000, 0.753], [0.500, 0.500, 0.541]]}

=====

{"formula": "TlAsRu", "functional": "PBE", "state": "relaxed", "e_form_mev_per_atom": 75.8, "relative_energy_ev_per_fu": 0.74, "magmom_total_mub_per_fu": 0.000, "spacegroup": "P3m1 (156)", "energy_ev_per_fu": -16.06, "n_ef_per_ev_atom": 0.639, "lattice_angstrom": [[3.306, 0.000, 0.000], [-1.653, 2.863, 0.000], [0.000, 0.000, 6.404]], "species": ["Tl", "As", "Ru"], "fractional_positions": [[0.000, 0.000, 0.000], [0.667, 0.333, 0.420], [0.333, 0.667, 0.654]]}

=====

{"formula": "Y5Rh6", "functional": "PBE", "state": "relaxed", "e_form_mev_per_atom": -629.2, "magmom_total_mub_per_fu": 0.000, "spacegroup": "Immm (71)", "energy_ev_per_fu": -83.35, "n_ef_per_ev_atom": 0.446, "lattice_angstrom": [[-2.327, 3.503, 7.046], [2.327, -3.503, 7.046], [2.327, 3.503, -7.046]], "species": ["Y", "Y", "Y", "Y", "Y", "Rh", "Rh", "Rh", "Rh", "Rh", "Rh"], "fractional_positions": [[0.000, 0.000, 0.000], [0.178, 0.678, 0.500], [0.361, 0.361, 0.000], [0.639, 0.639, 0.000], [0.822, 0.322, 0.500], [0.073, 0.832, 0.241], [0.221, 0.500, 0.721], [0.409, 0.168, 0.241], [0.591, 0.832, 0.759], [0.779, 0.500, 0.279], [0.927, 0.168, 0.759]]}

=====

{"formula": "Cs2K2Ca", "functional": "PBE", "state": "relaxed", "e_form_mev_per_atom": 299.3, "relative_energy_ev_per_fu": 0.57, "magmom_total_mub_per_fu": 0.017, "spacegroup": "I4/mmm (139)", "energy_ev_per_fu": -4.41, "n_ef_per_ev_atom": 0.975, "lattice_angstrom": [[6.269, 0.000, 0.000], [0.000, 6.269, 0.000], [0.000, 0.000, 21.094]], "species": ["Cs", "Cs", "Cs", "Cs", "K", "K", "K", "K", "Ca", "Ca"], "fractional_positions": [[0.000, 0.500, 0.250], [0.000, 0.500, 0.750], [0.500, 0.000, 0.250], [0.500, 0.000, 0.750], [0.000, 0.000, 0.087], [0.000, 0.000, 0.913], [0.500, 0.500, 0.413], [0.500, 0.500, 0.587], [0.000, 0.000, 0.500], [0.500, 0.500, 0.000]]}

=====

{"formula": "MgTcHg2", "functional": "PBE", "state": "relaxed", "e_form_mev_per_atom": 379.4, "magmom_total_mub_per_fu": 0.139, "spacegroup": "R-3m (166)", "energy_ev_per_fu": -11.05, "n_ef_per_ev_atom": 0.700, "lattice_angstrom": [[3.062, 0.000, 0.000], [-1.531, 2.652, 0.000], [0.000, 0.000, 28.268]], "species": ["Mg", "Mg", "Mg", "Tc", "Tc", "Tc", "Hg", "Hg", "Hg", "Hg", "Hg", "Hg"], "fractional_positions": [[0.000, 0.000, 0.000], [0.333, 0.667, 0.667], [0.667, 0.333, 0.333], [0.000, 0.000, 0.500], [0.333, 0.667, 0.167], [0.667, 0.333, 0.833], [0.000, 0.000, 0.249], [0.000, 0.000, 0.751], [0.333, 0.667, 0.418], [0.333, 0.667, 0.916], [0.667, 0.333, 0.084], [0.667, 0.333, 0.582]]}

=====

{"formula": "Zr2SbBr", "functional": "PBE", "state": "relaxed", "raw_formation_energy_kj_per_mol_atoms": 17.2, "relative_energy_ev_per_fu": 2.95, "magmom_total_mub_per_fu": 1.803, "spacegroup": "F-43m (216)", "energy_ev_per_fu": -22.18, "n_ef_per_ev_atom": 0.869, "lattice_angstrom": [[7.240, 0.000, 0.000], [0.000, 7.240, 0.000], [0.000, 0.000, 7.240]], "species": ["Zr", "Zr", "Zr", "Zr", "Zr", "Zr", "Zr", "Zr", "Sb", "Sb", "Sb", "Sb", "Br", "Br", "Br", "Br"], "fractional_positions": [[0.000, 0.000, 0.000], [0.000, 0.500, 0.500], [0.250, 0.250, 0.250], [0.250, 0.750, 0.750], [0.500, 0.000, 0.500], [0.500, 0.500, 0.000], [0.750, 0.250, 0.750], [0.750, 0.750, 0.250], [0.000, 0.000, 0.500], [0.000, 0.500, 0.000], [0.500, 0.000, 0.000], [0.500, 0.500, 0.500], [0.250, 0.250, 0.750], [0.250, 0.750, 0.250], [0.750, 0.250, 0.250], [0.750, 0.750, 0.750]]}

=====

{"formula": "Ho2Al5Cu12", "functional": "PBE", "state": "relaxed", "e_form_mev_per_atom": -265.9, "magmom_total_mub_per_fu": 0.000, "spacegroup": "R-3m (166)", "energy_ev_per_fu": -82.07, "n_ef_per_ev_atom": 0.442, "lattice_angstrom": [[4.335, 2.503, 4.262], [-4.335, 2.503, 4.262], [0.000, -5.006, 4.262]], "species": ["Ho", "Ho", "Al", "Al", "Al", "Al", "Al", "Cu", "Cu", "Cu", "Cu", "Cu", "Cu", "Cu", "Cu", "Cu", "Cu", "Cu", "Cu"], "fractional_positions": [[0.152, 0.152, 0.152], [0.848, 0.848, 0.848], [0.000, 0.500, 0.500], [0.402, 0.402, 0.402], [0.500, 0.000, 0.500], [0.500, 0.500, 0.000], [0.598, 0.598, 0.598], [0.152, 0.152, 0.651], [0.152, 0.651, 0.152], [0.203, 0.500, 0.797], [0.203, 0.797, 0.500], [0.349, 0.848, 0.848], [0.500, 0.203, 0.797], [0.500, 0.797, 0.203], [0.651, 0.152, 0.152], [0.797, 0.203, 0.500], [0.797, 0.500, 0.203], [0.848, 0.349, 0.848], [0.848, 0.848, 0.349]]}

=====

{"formula": "AgBiTe2Mo", "functional": "PBE", "state": "relaxed", "raw_formation_energy_kj_per_mol_atoms": 63.2, "magmom_total_mub_per_fu": 1.326, "spacegroup": "P4/mmm (123)", "energy_ev_per_fu": -20.57, "n_ef_per_ev_atom": 1.287, "lattice_angstrom": [[5.244, 0.000, 0.000], [0.000, 5.244, 0.000], [0.000, 0.000, 5.299]], "species": ["Ag", "Bi", "Te", "Te", "Mo"], "fractional_positions": [[0.000, 0.000, 0.000], [0.500, 0.500, 0.000], [0.000, 0.500, 0.500], [0.500, 0.000, 0.500], [0.000, 0.000, 0.500]]}

=====

What did the eighth record say?
{"formula": "AgBiTe2Mo", "functional": "PBE", "state": "relaxed", "raw_formation_energy_kj_per_mol_atoms": 63.2, "magmom_total_mub_per_fu": 1.326, "spacegroup": "P4/mmm (123)", "energy_ev_per_fu": -20.57, "n_ef_per_ev_atom": 1.287, "lattice_angstrom": [[5.244, 0.000, 0.000], [0.000, 5.244, 0.000], [0.000, 0.000, 5.299]], "species": ["Ag", "Bi", "Te", "Te", "Mo"], "fractional_positions": [[0.000, 0.000, 0.000], [0.500, 0.500, 0.000], [0.000, 0.500, 0.500], [0.500, 0.000, 0.500], [0.000, 0.000, 0.500]]}